No. 1
Below is crystalline Pu2FeSb at its relaxed geometry, with properties calculated at the PBE-GGA level.

abc: 3.6025 3.6025 5.2350
angles: 90.00 90.00 90.00
Positions (direct):
Pu (0.0000, 0.5000, 0.0000)
Pu (0.5000, 0.0000, 0.0000)
Fe (0.0000, 0.0000, 0.5000)
Sb (0.5000, 0.5000, 0.5000)

The total energy comes out at -10.062 eV/atom. The calculation puts the total magnetization at 2.04 μB per formula unit. As for the density of states at the Fermi level: 1.916 states/eV per atom. As for the space group: P4/mmm.

No. 2
Below is crystalline KErPu2Se4 at its relaxed geometry, with properties calculated at the PBE-GGA level.

abc: 7.2717 4.1731 7.4442
angles: 90.00 108.96 90.00
Positions (direct):
K (0.0000, 0.0000, 0.0000)
Er (0.0000, 0.5000, 0.5000)
Pu (0.5000, 0.0000, 0.5000)
Pu (0.5000, 0.5000, 0.0000)
Se (0.2479, 0.0000, 0.7369)
Se (0.2605, 0.5000, 0.2730)
Se (0.7395, 0.5000, 0.7270)
Se (0.7521, 0.0000, 0.2631)

The total energy comes out at -7.526 eV/atom. The calculation puts the total magnetization at 0.32 μB per formula unit. As for the density of states at the Fermi level: 3.369 states/eV per atom. As for the space group: P2/m.

No. 3
Below is crystalline AlBSe2 at its relaxed geometry, with properties calculated at the PBE-GGA level.

abc: 4.5448 4.5448 4.5448
angles: 60.00 60.00 60.00
Positions (direct):
Al (0.0000, 0.0000, 0.0000)
B (0.5000, 0.5000, 0.5000)
Se (0.2500, 0.2500, 0.2500)
Se (0.7500, 0.7500, 0.7500)

The total energy comes out at -3.517 eV/atom. The calculation puts the total magnetization at 0.00 μB per formula unit. As for the density of states at the Fermi level: 0.350 states/eV per atom. As for the space group: Fm-3m.

No. 4
Below is crystalline Li5PrAu7 at its relaxed geometry, with properties calculated at the PBE-GGA level.

abc: 7.0529 7.0529 7.0529
angles: 135.54 97.80 98.66
Positions (direct):
Li (0.0000, 0.0000, 0.0000)
Li (0.2345, 0.2347, 0.5064)
Li (0.2345, 0.7281, 0.9998)
Li (0.7283, 0.2347, 0.0001)
Li (0.7283, 0.7281, 0.4936)
Pr (0.2435, 0.7435, 0.5000)
Au (0.0123, 0.2237, 0.7886)
Au (0.4352, 0.2237, 0.2114)
Au (0.4556, 0.4556, 0.0000)
Au (0.5810, 0.0810, 0.5000)
Au (0.5827, 0.7404, 0.8422)
Au (0.8982, 0.7404, 0.1578)
Au (0.9052, 0.4052, 0.5000)

The total energy comes out at -3.382 eV/atom. The calculation puts the total magnetization at 0.00 μB per formula unit. As for the density of states at the Fermi level: 0.307 states/eV per atom. As for the space group: Imm2. The calculation puts the formation energy from the elements at -0.51 eV/atom.

No. 5
Below is crystalline AlIrSe2 at its relaxed geometry, with properties calculated at the PBE-GGA level.

abc: 4.8407 4.8407 4.8407
angles: 128.41 128.41 75.96
Positions (direct):
Al (0.0000, 0.0000, 0.0000)
Ir (0.2500, 0.7500, 0.5000)
Se (0.5000, 0.5000, 0.0000)
Se (0.7500, 0.2500, 0.5000)

The total energy comes out at -4.574 eV/atom. The calculation puts the total magnetization at 0.00 μB per formula unit. As for the density of states at the Fermi level: 0.593 states/eV per atom. As for the space group: I-4m2.

No. 6
Below is crystalline AcYTe2O8 at its relaxed geometry, with properties calculated at the PBE-GGA level.

abc: 6.4546 6.4546 6.4546
angles: 107.31 107.31 113.88
Positions (direct):
Ac (0.0000, 0.0000, 0.0000)
Y (0.7500, 0.2500, 0.5000)
Te (0.2500, 0.7500, 0.5000)
Te (0.5000, 0.5000, 0.0000)
O (0.0617, 0.3870, 0.3253)
O (0.0617, 0.7364, 0.6747)
O (0.1114, 0.3073, 0.8041)
O (0.2636, 0.9383, 0.3253)
O (0.5031, 0.3073, 0.1959)
O (0.6130, 0.9383, 0.6747)
O (0.6927, 0.4969, 0.8041)
O (0.6927, 0.8886, 0.1959)

The total energy comes out at -6.634 eV/atom. The calculation puts the total magnetization at 0.00 μB per formula unit. As for the density of states at the Fermi level: 0.123 states/eV per atom. As for the space group: I-4m2.

Question: What is the formula in the sixth record?
Answer: AcYTe2O8